# 1
Here is crystalline LiEu2Si3 at its relaxed geometry from Alexandria via LeMat-Bulk. Energies are from PBE.

Lattice parameters (Å, degrees): 4.503 7.807 7.984 104.09 106.37 90.00
Site moments in Bohr magnetons follow the coordinates.
Atoms (fractional coordinates):
Si: 0.205 0.712 0.409  0.00
Si: 0.956 0.853 0.912  0.01
Si: 0.046 0.649 0.093  -0.01
Si: 0.954 0.351 0.907  -0.01
Si: 0.795 0.288 0.591  0.00
Si: 0.044 0.147 0.088  0.01
Eu: 0.612 0.430 0.224  6.77
Eu: 0.388 0.570 0.776  6.77
Eu: 0.377 0.064 0.754  -6.77
Eu: 0.623 0.936 0.246  -6.77
Li: 0.213 0.274 0.426  0.00
Li: 0.787 0.726 0.574  0.00

Output
The value obtained for the raw formation energy is -516 meV per atom. Its space group is No. 12.



# 2
Here is crystalline Zr5Co2Pd at its relaxed geometry from Alexandria via LeMat-Bulk. Energies are from PBE.

Lattice parameters (Å, degrees): 7.273 7.273 7.672 118.30 118.30 90.00
Atoms (fractional coordinates):
Pd: 0.750 0.750 0.500
Pd: 0.250 0.250 0.500
Co: 0.628 0.128 0.000
Co: 0.128 0.372 0.000
Co: 0.372 0.872 0.000
Co: 0.872 0.628 0.000
Zr: 0.000 0.000 0.000
Zr: 0.298 0.798 0.283
Zr: 0.985 0.485 0.283
Zr: 0.702 0.202 0.717
Zr: 0.515 0.702 0.717
Zr: 0.500 0.500 0.000
Zr: 0.015 0.515 0.717
Zr: 0.798 0.985 0.283
Zr: 0.485 0.298 0.283
Zr: 0.202 0.015 0.717

Output
The electronic total energy comes out at -8.1016 eV per atom. Its space group is No. 140.



# 3
Here is crystalline Mg3Cd3HgAu2 at its relaxed geometry from Alexandria via LeMat-Bulk. Energies are from PBE.

Lattice parameters (Å, degrees): 3.325 8.045 8.045 120.00 90.00 90.00
Atoms (fractional coordinates):
Cd: 0.500 0.000 0.699
Cd: 0.500 0.301 0.301
Cd: 0.500 0.699 0.000
Au: 0.500 0.667 0.333
Au: 0.500 0.333 0.667
Hg: 0.000 0.000 0.000
Mg: 0.000 0.000 0.384
Mg: 0.000 0.616 0.616
Mg: 0.000 0.384 0.000

Output
The electronic total energy comes out at -1.8716 eV per atom. Its space group is No. 189.



# 4
Here is crystalline PmPrSI at its relaxed geometry from Alexandria via LeMat-Bulk. Energies are from PBE.

Lattice parameters (Å, degrees): 4.061 4.064 8.273 90.00 104.16 120.02
Atoms (fractional coordinates):
Pr: 0.507 0.152 0.674
S: 0.307 0.551 0.873
I: 0.964 0.380 0.360
Pm: 0.100 0.948 0.063

Output
The value obtained for the raw formation energy is -1454 meV per atom. Its space group is No. 160.



# 5
Here is crystalline CsRbZn2Ge at its relaxed geometry from Alexandria via LeMat-Bulk. Energies are from PBE.

Lattice parameters (Å, degrees): 4.418 7.033 7.114 62.08 90.01 71.78
Atoms (fractional coordinates):
Zn: 0.605 0.053 0.866
Zn: 0.098 0.068 0.665
Cs: 0.786 0.690 0.524
Rb: 0.434 0.396 0.166
Ge: 0.118 0.029 0.044

Output
Its space group is No. 1. The energy relative to the lowest polymorph listed for this composition is 0.000 eV per atom.



# 6
Here is crystalline DyBeSe at its relaxed geometry from Alexandria via LeMat-Bulk. Energies are from PBE.

Lattice parameters (Å, degrees): 4.352 4.353 11.248 54.66 78.85 60.01
Atoms (fractional coordinates):
Be: 0.326 0.872 0.477
Be: 0.674 0.128 0.523
Se: 0.232 0.343 0.193
Se: 0.768 0.657 0.807
Dy: 0.939 0.805 0.316
Dy: 0.061 0.195 0.684

Output
The value obtained for the raw formation energy is -840 meV per atom. Its space group is No. 12.



# 7
Here is crystalline Tb3Dy2Tm6Mg at its relaxed geometry from Alexandria via LeMat-Bulk. Energies are from PBE.

Lattice parameters (Å, degrees): 6.058 6.058 11.586 95.03 95.03 120.02
Atoms (fractional coordinates):
Tb: 0.500 0.500 0.500
Tb: 0.834 0.166 0.500
Tb: 0.166 0.834 0.500
Tm: 0.749 0.749 0.249
Tm: 0.415 0.082 0.248
Tm: 0.251 0.251 0.751
Tm: 0.585 0.918 0.752
Tm: 0.082 0.415 0.248
Tm: 0.918 0.585 0.752
Mg: 0.000 0.000 0.000
Dy: 0.666 0.334 0.000
Dy: 0.334 0.666 0.000

Output
The electronic total energy comes out at -4.2607 eV per atom. Its space group is No. 12.



# 8
Here is crystalline Ba2CdMo at its relaxed geometry from Alexandria via LeMat-Bulk. Energies are from PBE.

Lattice parameters (Å, degrees): 3.974 3.974 8.823 90.00 90.00 89.96
Site moments in Bohr magnetons follow the coordinates.
Atoms (fractional coordinates):
Mo: 0.500 0.500 0.750  2.45
Cd: 0.500 0.500 0.250  -0.02
Ba: 0.000 0.000 0.984  -0.01
Ba: 0.000 0.000 0.516  -0.01

Output
The electronic total energy comes out at -3.2421 eV per atom. Its space group is No. 123.



# 9
Here is crystalline Nd3As6Pd20 at its relaxed geometry from Alexandria via LeMat-Bulk. Energies are from PBE.

Lattice parameters (Å, degrees): 8.945 8.945 8.945 60.00 60.00 60.00
Atoms (fractional coordinates):
As: 0.264 0.264 0.736
As: 0.264 0.736 0.736
As: 0.736 0.736 0.264
As: 0.736 0.264 0.264
As: 0.736 0.264 0.736
As: 0.264 0.736 0.264
Pd: 0.384 0.384 0.384
Pd: 0.650 0.000 0.000
Pd: 0.000 0.350 0.650
Pd: 0.152 0.616 0.616
Pd: 0.350 0.000 0.000
Pd: 0.650 0.350 0.000
Pd: 0.384 0.384 0.848
Pd: 0.000 0.650 0.000
Pd: 0.000 0.000 0.650
Pd: 0.848 0.384 0.384
Pd: 0.000 0.350 0.000
Pd: 0.000 0.000 0.350
Pd: 0.350 0.650 0.000
Pd: 0.350 0.000 0.650
Pd: 0.616 0.616 0.616
Pd: 0.000 0.650 0.350
Pd: 0.384 0.848 0.384
Pd: 0.616 0.616 0.152
Pd: 0.616 0.152 0.616
Pd: 0.650 0.000 0.350
Nd: 0.000 0.000 0.000
Nd: 0.750 0.750 0.750
Nd: 0.250 0.250 0.250

Output
The electronic total energy comes out at -5.6271 eV per atom. Its space group is No. 225.



# 10
Here is crystalline CaOs2W at its relaxed geometry from Alexandria via LeMat-Bulk. Energies are from PBE.

Lattice parameters (Å, degrees): 2.795 2.795 8.951 90.00 90.00 90.02
Atoms (fractional coordinates):
W: 0.000 0.000 0.466
Ca: 0.500 0.500 0.767
Os: 0.000 0.000 0.039
Os: 0.500 0.500 0.228

Output
Its space group is No. 99. The energy relative to the lowest polymorph listed for this composition is 0.237 eV per atom.



# 11
Here is crystalline Zn2RuW at its relaxed geometry from Alexandria via LeMat-Bulk. Energies are from PBE.

Lattice parameters (Å, degrees): 8.957 8.957 8.957 17.88 17.88 17.88
Atoms (fractional coordinates):
Zn: 0.997 0.997 0.997
Zn: 0.503 0.503 0.503
Ru: 0.250 0.250 0.250
W: 0.750 0.750 0.750

Output
Its space group is No. 166. The energy relative to the lowest polymorph listed for this composition is 0.220 eV per atom.



# 12
Here is crystalline BaTc2Au at its relaxed geometry from Alexandria via LeMat-Bulk. Energies are from PBE.

Lattice parameters (Å, degrees): 5.111 5.111 5.952 75.40 75.40 44.43
Atoms (fractional coordinates):
Tc: 0.475 0.475 0.658
Tc: 0.025 0.025 0.842
Ba: 0.250 0.250 0.250
Au: 0.750 0.750 0.750

Output
Its space group is No. 12. The energy relative to the lowest polymorph listed for this composition is 0.171 eV per atom.